The following is a DFT calculation (PBE-GGA) of a relaxed structure of Ho4CoCl5.

a = 10.1337 Å, b = 10.1337 Å, c = 8.1403 Å
α = 90.20°, β = 90.20°, γ = 21.46°
Last column: nearest neighbours and their distance in Å.
Sites, in units of the cell vectors:
Ho 0.0001 0.0001 0.2171  2 Co 2.59
Ho 0.9999 0.9999 0.7829  2 Co 2.59
Ho 0.3691 0.3691 0.9992  1 Co 2.61, 4 Cl 2.71
Ho 0.6309 0.6309 0.0008  1 Co 2.61, 4 Cl 2.71
Co 0.5000 0.5000 0.0000  6 Ho 2.59-2.61
Cl 0.1540 0.1540 0.2330  2 Ho 2.71
Cl 0.1539 0.1539 0.7689  2 Ho 2.71
Cl 0.5000 0.5000 0.5000  4 Ho 2.98
Cl 0.8461 0.8461 0.2311  2 Ho 2.71
Cl 0.8460 0.8460 0.7670  2 Ho 2.71

Computed properties:
Space group: No. 12
Excess energy over the best structure of this formula in the dataset (eV/f.u.): 0.27

***

The following is a DFT calculation (PBE-GGA) of a relaxed structure of HoCoCl.

a = 3.8593 Å, b = 3.8593 Å, c = 11.1570 Å
α = 100.07°, β = 100.07°, γ = 59.98°
Last column: nearest neighbours and their distance in Å.
Sites, in units of the cell vectors:
Ho 0.0000 0.0000 0.0000  3 Cl 2.82, 6 Co 2.90-2.91
Ho 0.1150 0.1150 0.3413  3 Cl 2.82, 6 Co 2.90-2.91
Co 0.3909 0.3909 0.1706  3 Co 2.23
Co 0.7242 0.7242 0.1706  3 Co 2.23
Cl 0.2798 0.2798 0.8413  3 Ho 2.82
Cl 0.5016 0.5016 0.5000  3 Ho 2.82

Computed properties:
Space group: No. 8

***

The following is a DFT calculation (PBE-GGA) of a relaxed structure of KHoCoCl6.

a = 6.6394 Å, b = 6.6394 Å, c = 7.0213 Å
α = 90.13°, β = 90.13°, γ = 120.12°
Last column: nearest neighbours and their distance in Å.
Sites, in units of the cell vectors:
K 0.0000 0.0000 0.0000  6 Cl 3.21
Ho 0.6664 0.3336 0.5000  6 Cl 2.63-2.64
Co 0.3333 0.6667 0.5000  6 Cl 2.46-2.47
Cl 0.0201 0.3793 0.7064  1 Co 2.47, 1 Ho 2.64
Cl 0.0197 0.6397 0.2937  1 Co 2.46, 1 Ho 2.64
Cl 0.3603 0.9803 0.7063  1 Co 2.46, 1 Ho 2.64
Cl 0.3661 0.3849 0.2899  1 Co 2.47, 1 Ho 2.63
Cl 0.6151 0.6339 0.7101  1 Co 2.47, 1 Ho 2.63
Cl 0.6207 0.9799 0.2936  1 Co 2.47, 1 Ho 2.64

Computed properties:
Space group: No. 5

***

The following is a DFT calculation (PBE-GGA) of a relaxed structure of NaHoCoCl6.

a = 6.5570 Å, b = 6.5570 Å, c = 12.5586 Å
α = 90.00°, β = 90.00°, γ = 120.00°
Last column: nearest neighbours and their distance in Å.
Sites, in units of the cell vectors:
Na 0.0000 0.0000 0.0000  6 Cl 2.90
Na 0.0000 0.0000 0.5000  6 Cl 2.90
Ho 0.3333 0.6667 0.2500  6 Cl 2.64
Ho 0.6667 0.3333 0.7500  6 Cl 2.64
Co 0.3333 0.6667 0.7500  6 Cl 2.47
Co 0.6667 0.3333 0.2500  6 Cl 2.47
Cl 0.0203 0.3665 0.6364  1 Co 2.47, 1 Ho 2.64
Cl 0.0203 0.6539 0.8636  1 Co 2.47, 1 Ho 2.64
Cl 0.3461 0.3665 0.8636  1 Co 2.47, 1 Ho 2.64
Cl 0.3461 0.9797 0.6364  1 Co 2.47, 1 Ho 2.64
Cl 0.3665 0.0203 0.1364  1 Co 2.47, 1 Ho 2.64
Cl 0.3665 0.3461 0.3636  1 Co 2.47, 1 Ho 2.64
Cl 0.6335 0.6539 0.6364  1 Co 2.47, 1 Ho 2.64
Cl 0.6335 0.9797 0.8636  1 Co 2.47, 1 Ho 2.64
Cl 0.6539 0.0203 0.3636  1 Co 2.47, 1 Ho 2.64
Cl 0.6539 0.6335 0.1364  1 Co 2.47, 1 Ho 2.64
Cl 0.9797 0.3461 0.1364  1 Co 2.47, 1 Ho 2.64
Cl 0.9797 0.6335 0.3636  1 Co 2.47, 1 Ho 2.64

Computed properties:
Space group: No. 163

***

The following is a DFT calculation (PBE-GGA) of a relaxed structure of RbHoCoCl6.

a = 6.6671 Å, b = 6.6671 Å, c = 7.3861 Å
α = 90.10°, β = 90.10°, γ = 120.13°
Last column: nearest neighbours and their distance in Å.
Sites, in units of the cell vectors:
Rb 0.0000 0.0000 0.0000  6 Cl 3.35-3.36
Ho 0.3337 0.6663 0.5000  6 Cl 2.64
Co 0.6670 0.3330 0.5000  6 Cl 2.46-2.48
Cl 0.3825 0.0192 0.6969  1 Co 2.48, 1 Ho 2.64
Cl 0.3894 0.3705 0.2995  1 Co 2.48, 1 Ho 2.64
Cl 0.6295 0.6106 0.7005  1 Co 2.48, 1 Ho 2.64
Cl 0.6361 0.0199 0.3033  1 Co 2.46, 1 Ho 2.64
Cl 0.9801 0.3639 0.6967  1 Co 2.46, 1 Ho 2.64
Cl 0.9808 0.6175 0.3031  1 Co 2.48, 1 Ho 2.64

Computed properties:
Space group: No. 5

***

The following is a DFT calculation (PBE-GGA) of a relaxed structure of Ho3CoSeCl.

a = 8.1536 Å, b = 3.8738 Å, c = 9.5531 Å
α = 90.00°, β = 94.79°, γ = 90.00°
Last column: nearest neighbours and their distance in Å.
Sites, in units of the cell vectors:
Ho 0.1253 0.2500 0.3792  2 Cl 2.68, 1 Co 2.93
Ho 0.1695 0.2500 0.8119  3 Co 2.82-2.83, 2 Se 2.87
Ho 0.3024 0.7500 0.1087  1 Cl 2.87, 3 Co 2.92-3.14, 3 Se 2.93
Ho 0.6976 0.2500 0.8913  1 Cl 2.87, 3 Co 2.92-3.14, 3 Se 2.93
Ho 0.8305 0.7500 0.1881  3 Co 2.82-2.83, 2 Se 2.87
Ho 0.8747 0.7500 0.6208  2 Cl 2.68, 1 Co 2.93
Co 0.0346 0.2500 0.0754  2 Co 2.45
Co 0.9654 0.7500 0.9246  2 Co 2.45
Se 0.4307 0.7500 0.8309  5 Ho 2.87-2.93
Se 0.5693 0.2500 0.1691  5 Ho 2.87-2.93
Cl 0.3522 0.7500 0.4102  3 Ho 2.68-2.87
Cl 0.6478 0.2500 0.5898  3 Ho 2.68-2.87

Computed properties:
Space group: No. 11

***

The following is a DFT calculation (PBE-GGA) of a relaxed structure of Tb2Ho2Co2Cl.

a = 6.9247 Å, b = 6.9247 Å, c = 8.2655 Å
α = 118.34°, β = 118.34°, γ = 30.31°
Last column: nearest neighbours and their distance in Å.
Sites, in units of the cell vectors:
Tb 0.0268 0.0268 0.2247  4 Co 2.68-2.93
Tb 0.9732 0.9732 0.7753  4 Co 2.68-2.93
Ho 0.2714 0.2714 0.1863  3 Co 2.66-2.97, 1 Cl 2.88
Ho 0.7286 0.7286 0.8137  3 Co 2.66-2.97, 1 Cl 2.88
Co 0.3951 0.3951 0.9702  1 Co 2.60, 2 Ho 2.66, 2 Tb 2.68
Co 0.6049 0.6049 0.0298  1 Co 2.60, 2 Ho 2.66, 2 Tb 2.68
Cl 0.5000 0.5000 0.5000  2 Ho 2.88, 4 Tb 3.06

Computed properties:
Space group: No. 12

***

The following is a DFT calculation (PBE-GGA) of a relaxed structure of Ho3CoTeCl.

a = 8.3880 Å, b = 4.0292 Å, c = 9.5577 Å
α = 90.00°, β = 96.80°, γ = 90.00°
Last column: nearest neighbours and their distance in Å.
Sites, in units of the cell vectors:
Ho 0.1332 0.2500 0.3845  2 Cl 2.68, 1 Co 2.88
Ho 0.1472 0.2500 0.8193  3 Co 2.78-2.79, 2 Te 3.07
Ho 0.2854 0.7500 0.1133  1 Cl 2.86, 3 Co 2.86-3.14, 3 Te 3.17-3.18
Ho 0.7146 0.2500 0.8867  1 Cl 2.86, 3 Co 2.86-3.14, 3 Te 3.17-3.18
Ho 0.8528 0.7500 0.1807  3 Co 2.78-2.79, 2 Te 3.07
Ho 0.8668 0.7500 0.6155  2 Cl 2.68, 1 Co 2.88
Co 0.0414 0.2500 0.0841  2 Co 2.62, 6 Ho 2.78-2.88
Co 0.9586 0.7500 0.9159  2 Co 2.62, 6 Ho 2.78-2.88
Te 0.4226 0.7500 0.8176  5 Ho 3.07-3.18
Te 0.5774 0.2500 0.1824  5 Ho 3.07-3.18
Cl 0.3450 0.7500 0.4141  3 Ho 2.68-2.86
Cl 0.6550 0.2500 0.5859  3 Ho 2.68-2.86

Computed properties:
Space group: No. 11

***

no.,Fermi-level density of states (states/eV/cell),formation energy from raw total energies (eV per atom),total energy (eV/atom)
1,0.99,-1.553,-5.02
2,3.43,-1.183,-5.69
3,0.98,-1.640,-4.29
4,1.66,-1.582,-4.26
5,0.58,-1.645,-4.28
6,8.83,-1.046,-5.41
7,5.45,-0.510,-5.43
8,7.28,-0.901,-5.21